Record 1
PrEr9Sc2: optimized geometry, GGA-PBE.

Values from the calculation:
DOS(E_F) = 1.526 states/eV/atom
crystal system = tetragonal
formation energy = 0.04 eV per atom

Geometry as POSCAR:
```
PrEr9Sc2
1.0
-2.0903 -3.0814 -3.2350
-1.9756 -2.5659 3.7206
-12.0035 8.6046 -0.4397
Pr Er Sc
1 9 2
direct
0.0000 0.0000 0.0000
0.5000 0.5000 0.0000
0.5000 0.5000 0.3378
0.5000 0.5000 0.6622
0.5000 0.0000 0.1736
0.5000 0.0000 0.5000
0.5000 0.0000 0.8264
0.0000 0.5000 0.1736
0.0000 0.5000 0.5000
0.0000 0.5000 0.8264
0.0000 0.0000 0.3363
0.0000 0.0000 0.6637
```

=====

Record 2
Nd2HoTmSb4: optimized geometry, GGA-PBE.

Values from the calculation:
DOS(E_F) = 0.136 states/eV/atom
crystal system = monoclinic
total energy = -5.519 eV per atom

Geometry as POSCAR:
```
Nd2HoTmSb4
1.0
-0.0031 -2.5977 -3.6061
7.3202 -1.9222 1.3784
-4.6671 -4.9483 3.5686
Nd Ho Tm Sb
2 1 1 4
direct
0.5000 0.0000 0.5000
0.0000 0.5000 0.5000
0.5000 0.5000 0.0000
0.0000 0.0000 0.0000
0.5000 0.2451 0.2383
0.5000 0.7549 0.7617
0.0000 0.2526 0.7609
0.0000 0.7474 0.2391
```

=====

Record 3
FeBP2Cl: optimized geometry, GGA-PBE.

Values from the calculation:
DOS(E_F) = 0.669 states/eV/atom
crystal system = tetragonal
total energy = -4.437 eV per atom

Geometry as POSCAR:
```
FeBP2Cl
1.0
4.2014 0.0000 0.0000
0.0000 4.2014 0.0000
0.0000 0.0000 5.1507
P B Fe Cl
2 1 1 1
direct
0.0000 0.5000 0.0000
0.5000 0.0000 0.0000
0.5000 0.5000 0.5000
0.0000 0.0000 0.0000
0.0000 0.0000 0.5000
```

=====

Record 4
Ga2Cu8Pd: optimized geometry, GGA-PBE.

Values from the calculation:
DOS(E_F) = 0.298 states/eV/atom
crystal system = monoclinic
formation energy = 0.03 eV per atom

Geometry as POSCAR:
```
Ga2Cu8Pd
1.0
4.2539 1.2330 0.0000
2.0953 6.4752 0.0000
1.0477 3.2376 5.9330
Ga Cu Pd
2 8 1
direct
0.0000 0.3111 0.3778
0.0000 0.6889 0.6222
0.8544 0.0953 0.2337
0.8544 0.3290 0.7663
0.3075 0.4286 0.0000
0.5000 0.7854 0.4291
0.5000 0.2146 0.5709
0.6925 0.5714 0.0000
0.1456 0.6710 0.2337
0.1456 0.9047 0.7663
0.5000 0.0000 0.0000
```

=====

Record 5
NbSiAgRh2: optimized geometry, GGA-PBE.

Values from the calculation:
DOS(E_F) = 1.093 states/eV/atom
crystal system = tetragonal
total energy = -6.190 eV per atom

Geometry as POSCAR:
```
NbSiAgRh2
1.0
4.3930 0.0000 0.0000
0.0000 4.7186 0.0000
0.0000 0.0000 4.3930
Nb Rh Si Ag
1 2 1 1
direct
0.0000 0.5000 0.0000
0.0000 0.0000 0.5000
0.5000 0.0000 0.0000
0.0000 0.0000 0.0000
0.5000 0.5000 0.5000
```

=====

Record 6
K3Zr: optimized geometry, GGA-PBE.

Values from the calculation:
DOS(E_F) = 1.077 states/eV/atom
crystal system = trigonal
formation energy = 0.70 eV per atom

Geometry as POSCAR:
```
K3Zr
1.0
15.1419 0.0275 0.0160
14.6825 3.7018 0.0160
14.6825 1.8359 3.2145
K Zr
3 1
direct
0.7385 0.7385 0.7385
0.5000 0.5000 0.5000
0.2615 0.2615 0.2615
0.0000 0.0000 0.0000
```

=====

Record 7
In2Hg: optimized geometry, GGA-PBE.

Values from the calculation:
DOS(E_F) = 0.283 states/eV/atom
crystal system = cubic
formation energy = 0.03 eV per atom

Geometry as POSCAR:
```
In2Hg
1.0
-3.3668 2.6540 2.5154
-4.2339 1.3778 -2.2095
-4.3032 -2.0872 1.3535
Hg In
1 2
direct
0.0000 0.0000 0.0000
0.7500 0.7500 0.7500
0.2500 0.2500 0.2500
```